# 1
Density functional theory data (GGA-PBE) for a geometry-optimized Si2SnPt7 structure.

```
Si2SnPt7
1.0
-2.005 2.005 10.046
2.005 -2.005 10.046
2.005 2.005 -10.046
Si Sn Pt
2 1 7
Cartesian
0.000 0.000 3.537
0.000 0.000 16.554
0.000 0.000 10.046
0.000 0.000 0.000
2.005 0.000 2.125
2.005 0.000 5.023
2.005 0.000 7.921
0.000 2.005 2.125
0.000 2.005 5.023
0.000 2.005 7.921
```

Uncorrected formation energy: -603 meV per atom
Total moment: 0.00 Bohr magnetons per cell
D(E_F): 4.0 states/eV/cell

=====

# 2
Density functional theory data (GGA-PBE) for a geometry-optimized Cr2ReSb structure.

```
Cr2ReSb
1.0
0.000 3.119 3.119
3.119 0.000 3.119
3.119 3.119 0.000
Cr Re Sb
2 1 1
Cartesian
0.000 0.000 0.000
1.560 1.560 1.560
3.119 3.119 3.119
4.679 4.679 4.679
```

Uncorrected formation energy: 340 meV per atom
Total moment: 0.02 Bohr magnetons per cell
D(E_F): 3.9 states/eV/cell

=====

# 3
Density functional theory data (GGA-PBE) for a geometry-optimized KCdTc2 structure.

```
KCdTc2
1.0
1.421 0.820 10.867
-1.421 0.820 10.867
0.000 -1.641 10.867
K Cd Tc
1 1 2
Cartesian
0.000 0.000 0.000
0.000 0.000 16.301
0.000 0.000 7.870
0.000 0.000 24.732
```

Total moment: 1.05 Bohr magnetons per cell
Formation energy from the elements: 1.01 eV per atom
D(E_F): 5.6 states/eV/cell

=====

# 4
Density functional theory data (GGA-PBE) for a geometry-optimized Cs6ZnAu structure.

```
Cs6ZnAu
1.0
4.955 0.000 0.000
0.000 7.272 9.243
0.000 -7.272 9.243
Cs Zn Au
6 1 1
Cartesian
0.000 0.000 0.000
0.000 -2.348 13.730
0.000 2.348 13.730
2.478 0.000 4.677
2.478 -2.476 9.223
2.478 2.476 9.223
0.000 0.000 10.916
2.478 0.000 11.837
```

Total moment: 0.00 Bohr magnetons per cell
Formation energy from the elements: -0.07 eV per atom
D(E_F): 7.1 states/eV/cell

=====

# 5
Density functional theory data (GGA-PBE) for a geometry-optimized Ca2MnTlSn structure.

```
Ca2MnTlSn
1.0
5.950 0.000 0.000
0.000 5.950 0.000
0.000 0.000 5.028
Ca Mn Tl Sn
2 1 1 1
Cartesian
0.000 2.975 0.000
2.975 0.000 0.000
0.000 0.000 2.514
2.975 2.975 2.514
0.000 0.000 0.000
```

Total moment: 3.20 Bohr magnetons per cell
Formation energy from the elements: 0.17 eV per atom
D(E_F): 3.1 states/eV/cell

=====

# 6
Density functional theory data (GGA-PBE) for a geometry-optimized CaDy2Tl4 structure.

```
CaDy2Tl4
1.0
8.010 -2.640 0.000
8.010 2.640 0.000
-1.735 0.000 4.986
Ca Dy Tl
1 2 4
Cartesian
0.000 0.000 0.000
3.572 0.000 1.246
10.713 0.000 3.740
0.847 0.000 3.091
4.561 0.000 4.387
9.724 0.000 0.600
13.439 0.000 1.895
```

Total moment: 0.25 Bohr magnetons per cell
Formation energy from the elements: -0.22 eV per atom
D(E_F): 4.1 states/eV/cell

=====

# 7
Density functional theory data (GGA-PBE) for a geometry-optimized KLaVPd2 structure.

```
KLaVPd2
1.0
5.203 0.000 0.000
0.000 5.203 0.000
0.000 0.000 4.823
K La V Pd
1 1 1 2
Cartesian
0.000 0.000 0.000
2.602 2.602 2.411
0.000 0.000 2.411
0.000 2.602 0.000
2.602 0.000 0.000
```

Total moment: 4.16 Bohr magnetons per cell
Formation energy from the elements: 1.05 eV per atom
D(E_F): 3.2 states/eV/cell

=====

# 8
Density functional theory data (GGA-PBE) for a geometry-optimized TiTcB2C structure.

```
TiTcB2C
1.0
3.992 0.000 0.000
0.000 3.992 0.000
0.000 0.000 3.823
Ti Tc B C
1 1 2 1
Cartesian
0.000 0.000 0.000
1.996 1.996 1.912
0.000 1.996 0.000
1.996 0.000 0.000
0.000 0.000 1.912
```

Total moment: 1.55 Bohr magnetons per cell
Formation energy from the elements: 1.79 eV per atom
D(E_F): 4.8 states/eV/cell

=====

# 9
Density functional theory data (GGA-PBE) for a geometry-optimized La2CuHRu structure.

```
La2CuHRu
1.0
5.048 0.000 0.000
0.000 5.048 0.000
0.000 0.000 3.739
La Cu H Ru
2 1 1 1
Cartesian
0.000 2.524 0.000
2.524 0.000 0.000
0.000 0.000 1.869
0.000 0.000 0.000
2.524 2.524 1.869
```

Total moment: 0.00 Bohr magnetons per cell
D(E_F): 2.7 states/eV/cell
Energy above the most stable polymorph in this dataset: 42.8 meV per atom

=====

# 10
Density functional theory data (GGA-PBE) for a geometry-optimized Cs2ScInBr6 structure.

```
Cs2ScInBr6
1.0
4.179 2.413 6.529
-4.179 2.413 6.529
0.000 -4.826 6.529
Cs Sc In Br
2 1 1 6
Cartesian
0.000 0.000 4.858
0.000 0.000 14.729
0.000 0.000 0.000
0.000 0.000 9.793
-0.455 -2.682 8.067
-2.551 -0.947 11.519
-2.095 1.736 8.067
2.095 -1.736 11.519
2.551 0.947 8.067
0.455 2.682 11.519
```

Uncorrected formation energy: -1572 meV per atom
Total moment: 0.00 Bohr magnetons per cell
D(E_F): 0.0 states/eV/cell

=====

# 11
Density functional theory data (GGA-PBE) for a geometry-optimized CdPbAu2 structure.

```
CdPbAu2
1.0
2.193 1.266 5.933
-2.193 1.266 5.933
0.000 -2.532 5.933
Cd Pb Au
1 1 2
Cartesian
0.000 0.000 0.000
0.000 0.000 14.618
0.000 0.000 7.171
0.000 0.000 10.466
```

Total moment: 0.00 Bohr magnetons per cell
Formation energy from the elements: -0.02 eV per atom
D(E_F): 1.3 states/eV/cell

=====

# 12
Density functional theory data (GGA-PBE) for a geometry-optimized Ti2Nb3In structure.

```
Ti2Nb3In
1.0
7.025 -2.388 0.000
7.025 2.388 0.000
-4.638 0.000 6.621
Ti Nb In
4 6 2
Cartesian
-1.149 0.000 2.330
1.080 0.000 4.229
8.333 0.000 2.392
10.562 0.000 4.291
1.150 0.000 0.755
-1.177 0.000 5.875
5.901 0.000 0.792
3.512 0.000 5.829
10.590 0.000 0.746
8.263 0.000 5.866
3.444 0.000 2.530
5.969 0.000 4.092
```

Total moment: 0.22 Bohr magnetons per cell
Formation energy from the elements: 0.01 eV per atom
D(E_F): 17.8 states/eV/cell